## Pu4Se3Br (GGA-PBE)

Data for a relaxed structure of Pu4Se3Br.

uncorrected formation energy: -1.35 eV per atom
crystal system: trigonal
magnetic moment: 0.6 μB per cell

Lattice parameters (Å, degrees): 4.146 4.146 13.777 81.35 81.35 60.00
Each line ends with the local moment (μB).
Positions (direct):
1 Pu 0.623 0.623 0.132  -5.56
2 Br 0.000 0.000 0.000  0.04
3 Pu 0.377 0.377 0.868  -5.56
4 Se 0.500 0.500 0.500  -0.10
5 Se 0.751 0.751 0.748  0.00
6 Se 0.249 0.249 0.252  0.00
7 Pu 0.875 0.875 0.375  5.38
8 Pu 0.125 0.125 0.625  5.38